[1]
# Li4ScIn

Li4ScIn at its PBEsol-relaxed geometry (meta-GGA SCAN, Alexandria). Values from VASP.

```
&SYSTEM
  ibrav = 0, nat = 6, ntyp = 3
/
ATOMIC_SPECIES
Li 6.94 Li.upf
Sc 44.96 Sc.upf
In 114.82 In.upf
CELL_PARAMETERS angstrom
0.000 3.746 3.746
3.746 0.000 3.746
3.746 3.746 0.000
ATOMIC_POSITIONS angstrom
Li 0.940 0.940 0.940
Li 2.806 2.806 0.940
Li 2.806 0.940 2.806
Li 0.940 2.806 2.806
Sc 5.619 5.619 5.619
In 3.746 3.746 3.746
```

Crystal system: cubic
Total magnetic moment, μB/f.u.: 0.01
Mass density, g cm⁻³: 2.962
DFT formation energy, eV per atom: -0.1364

=====

[2]
# KTc2Hg

KTc2Hg at its PBEsol-relaxed geometry (meta-GGA SCAN, Alexandria). Values from VASP.

```
&SYSTEM
  ibrav = 0, nat = 4, ntyp = 3
/
ATOMIC_SPECIES
K 39.10 K.upf
Tc 98.00 Tc.upf
Hg 200.59 Hg.upf
CELL_PARAMETERS angstrom
1.504 -2.364 0.000
1.504 2.364 0.000
0.000 0.000 10.471
ATOMIC_POSITIONS angstrom
K 0.000 0.000 0.000
Tc 0.000 0.000 4.873
Tc 1.504 0.000 2.875
Hg 1.504 0.000 7.435
```

Crystal system: orthorhombic
Total magnetic moment, μB/f.u.: 0.00
Mass density, g cm⁻³: 9.718
DFT formation energy, eV per atom: 0.7045

=====

[3]
# TaNiGeMo2

TaNiGeMo2 at its PBEsol-relaxed geometry (meta-GGA SCAN, Alexandria). Values from VASP.

```
&SYSTEM
  ibrav = 0, nat = 5, ntyp = 4
/
ATOMIC_SPECIES
Ta 180.95 Ta.upf
Ni 58.69 Ni.upf
Ge 72.64 Ge.upf
Mo 95.94 Mo.upf
CELL_PARAMETERS angstrom
4.416 0.000 0.000
0.000 4.416 0.000
0.000 0.000 4.498
ATOMIC_POSITIONS angstrom
Ta 0.000 0.000 0.000
Ni 0.000 0.000 2.249
Ge 2.208 2.208 0.000
Mo 0.000 2.208 2.249
Mo 2.208 0.000 2.249
```

Crystal system: tetragonal
Total magnetic moment, μB/f.u.: 0.00
Mass density, g cm⁻³: 9.543
DFT formation energy, eV per atom: 1.1269

=====

[4]
# ReAgHg2

ReAgHg2 at its PBEsol-relaxed geometry (meta-GGA SCAN, Alexandria). Values from VASP.

```
&SYSTEM
  ibrav = 0, nat = 4, ntyp = 3
/
ATOMIC_SPECIES
Re 186.21 Re.upf
Ag 107.87 Ag.upf
Hg 200.59 Hg.upf
CELL_PARAMETERS angstrom
1.456 0.841 9.507
-1.456 0.841 9.507
0.000 -1.681 9.507
ATOMIC_POSITIONS angstrom
Re 0.000 0.000 0.000
Ag 0.000 0.000 14.261
Hg 0.000 0.000 7.152
Hg 0.000 0.000 21.370
```

Crystal system: trigonal
Total magnetic moment, μB/f.u.: 0.00
Distance to the lowest polymorph of the same formula, eV per atom: 0.000
Mass density, g cm⁻³: 16.536
DFT formation energy, eV per atom: 0.5743

=====

[5]
# SiH3I

SiH3I at its PBEsol-relaxed geometry (meta-GGA SCAN, Alexandria). Values from VASP.

```
&SYSTEM
  ibrav = 0, nat = 20, ntyp = 3
/
ATOMIC_SPECIES
Si 28.09 Si.upf
H 1.01 H.upf
I 126.90 I.upf
CELL_PARAMETERS angstrom
4.318 0.000 0.000
0.000 7.880 0.000
-2.149 0.000 9.906
ATOMIC_POSITIONS angstrom
Si -0.455 0.498 2.825
Si -1.530 3.442 7.777
Si 3.699 4.438 2.128
Si 2.625 7.382 7.081
H -0.869 0.390 6.207
H 0.206 3.550 1.254
H 0.187 5.269 3.072
H -0.888 6.551 8.024
H -0.365 4.133 7.148
H 0.709 7.687 2.195
H 1.460 0.193 7.711
H 2.535 3.747 2.758
H 3.057 1.329 1.881
H 1.983 2.611 6.834
H 1.964 4.330 8.652
H 3.039 7.490 3.699
I -0.478 1.771 9.302
I 0.597 2.169 4.349
I 1.573 5.711 5.557
I 2.648 6.109 0.604
```

Crystal system: monoclinic
Total magnetic moment, μB/f.u.: 0.00
VASP energy, eV/atom: -11.528
Mass density, g cm⁻³: 3.114

=====

[6]
# BaGd2O4

BaGd2O4 at its PBEsol-relaxed geometry (meta-GGA SCAN, Alexandria). Values from VASP.

```
&SYSTEM
  ibrav = 0, nat = 28, ntyp = 3
/
ATOMIC_SPECIES
Ba 137.33 Ba.upf
Gd 157.25 Gd.upf
O 16.00 O.upf
CELL_PARAMETERS angstrom
10.421 0.000 0.000
0.000 3.497 0.000
0.000 0.000 12.178
ATOMIC_POSITIONS angstrom
Ba 2.583 0.874 1.815
Ba 2.627 2.623 7.903
Ba 7.794 0.874 4.274
Ba 7.838 2.623 10.363
Gd 0.800 0.874 4.738
Gd 0.802 0.874 10.835
Gd 4.409 2.623 4.746
Gd 4.411 2.623 10.827
Gd 6.011 0.874 1.351
Gd 6.012 0.874 7.432
Gd 9.620 2.623 1.343
Gd 9.622 2.623 7.440
O 0.178 2.623 9.530
O 0.728 0.874 7.006
O 1.234 2.623 0.219
O 2.195 2.623 4.086
O 3.015 0.874 10.175
O 3.977 0.874 6.308
O 4.482 2.623 0.917
O 5.033 0.874 3.441
O 5.389 2.623 8.737
O 5.939 0.874 11.260
O 6.445 2.623 5.870
O 7.406 2.623 2.003
O 8.226 0.874 8.091
O 9.187 0.874 11.959
O 9.693 2.623 5.171
O 10.243 0.874 2.648
```

Crystal system: orthorhombic
Total magnetic moment, μB/f.u.: 14.00
Mass density, g cm⁻³: 7.719
Raw formation energy, eV/atom: -3.47

=====

[7]
# Ni2RuSe

Ni2RuSe at its PBEsol-relaxed geometry (meta-GGA SCAN, Alexandria). Values from VASP.

```
&SYSTEM
  ibrav = 0, nat = 4, ntyp = 3
/
ATOMIC_SPECIES
Ni 58.69 Ni.upf
Ru 101.07 Ru.upf
Se 78.96 Se.upf
CELL_PARAMETERS angstrom
-1.802 1.802 3.880
1.802 -1.802 3.880
1.802 1.802 -3.880
ATOMIC_POSITIONS angstrom
Ni 1.802 0.000 1.940
Ni 0.000 1.802 1.940
Ru 0.000 0.000 0.000
Se 0.000 0.000 3.880
```

Crystal system: tetragonal
Total magnetic moment, μB/f.u.: 2.58
Mass density, g cm⁻³: 9.795
Raw formation energy, eV/atom: 0.36

=====

[8]
# HgIrNO2

HgIrNO2 at its PBEsol-relaxed geometry (meta-GGA SCAN, Alexandria). Values from VASP.

```
&SYSTEM
  ibrav = 0, nat = 5, ntyp = 4
/
ATOMIC_SPECIES
Hg 200.59 Hg.upf
Ir 192.22 Ir.upf
N 14.01 N.upf
O 16.00 O.upf
CELL_PARAMETERS angstrom
4.061 0.000 0.000
0.000 4.061 0.000
0.000 0.000 3.695
ATOMIC_POSITIONS angstrom
Hg 0.000 0.000 0.000
Ir 2.031 2.031 1.848
N 2.031 2.031 0.000
O 0.000 2.031 1.848
O 2.031 0.000 1.848
```

Crystal system: tetragonal
Total magnetic moment, μB/f.u.: 0.00
Mass density, g cm⁻³: 11.956
Raw formation energy, eV/atom: 0.25